Material: TmThMnTc
Method: DFT, PBE
State: optimized geometry

Unit cell a=4.941 b=4.941 c=4.941 alpha=60.00 beta=60.00 gamma=60.00
Positions (direct):
Tm1 0.000 0.000 0.000
Th1 0.500 0.500 0.500
Mn1 0.250 0.250 0.250
Tc1 0.750 0.750 0.750

Values from the calculation:
Theoretical density = 10.79 g/cm3
DOS(E_F) = 5.1 states/eV/f.u.
SG = F-43m, No. 216
E_form = 33 meV/atom